<P>
Here is a relaxed structure of RbBr2Cl2 from Alexandria via LeMat-Bulk. Energies are from GGA-PBE.

Values from the calculation:
**Theoretical density**: 2.14 Mg/m³

```
5
Lattice="5.4420 0.0000 0.0000 -2.7210 4.7128 0.0000 0.0000 0.0000 9.5847" Properties=species:S:1:pos:R:3 pbc="T T T"
Cl 0.0000 3.1419 1.1787
Rb 0.0000 0.0000 0.0000
Br 0.0000 3.1419 3.6063
Cl 2.7210 1.5709 8.4059
Br 2.7210 1.5709 5.9784
```



<Q>
Here is a relaxed structure of RbBr2Cl2 from Alexandria via LeMat-Bulk. Energies are from GGA-PBE.

Values from the calculation:
**Theoretical density**: 3.16 Mg/m³

```
10
Lattice="-8.7882 -0.8967 -1.5065 1.1333 -8.7808 -1.3848 -0.6181 -0.7156 4.0317" Properties=species:S:1:pos:R:3 pbc="T T T"
Cl -2.3689 -2.6611 1.2913
Br -0.3492 -3.6626 -0.7036
Rb -3.8274 -4.8388 -1.4456
Cl -1.5434 -7.0251 0.6433
Br -7.3056 -6.0149 -2.1876
Rb 0.0000 0.0000 0.0000
Br -5.1007 -1.3417 -1.0201
Br -2.5541 -8.3358 -1.8711
Cl -6.7296 -3.3680 0.4973
Cl -5.9041 -7.7320 -0.1508
```



Tell me which of them is the most stable. Sure, it is <Q>.



<P>
Here is a relaxed structure of Rb2SbBrCl6 from Alexandria via LeMat-Bulk. Energies are from GGA-PBE.

Values from the calculation:
**Theoretical density**: 2.74 Mg/m³

```
10
Lattice="-5.2589 -3.6158 4.7264 5.5024 -5.3567 2.0242 1.7243 -1.2229 7.6550" Properties=species:S:1:pos:R:3 pbc="T T T"
Cl 0.1898 -6.9912 5.2599
Rb -1.7064 -4.6625 7.8784
Cl 1.0166 -2.6640 5.7651
Cl 3.1260 -4.9723 2.6209
Cl -2.8825 -4.0003 4.1297
Rb 3.6743 -5.5330 6.5273
Sb 0.0000 0.0000 0.0000
Cl 0.9513 -7.5315 8.6406
Br 0.1218 -4.4863 3.3753
Cl 0.0538 -1.9814 1.4907
```



<Q>
Here is a relaxed structure of Rb2SbBrCl6 from Alexandria via LeMat-Bulk. Energies are from GGA-PBE.

Values from the calculation:
**Theoretical density**: 2.57 Mg/m³

```
10
Lattice="9.4049 -0.0416 0.5495 4.8587 5.4840 1.6546 5.1209 3.3437 8.4275" Properties=species:S:1:pos:R:3 pbc="T T T"
Rb 9.2169 1.7075 0.9879
Cl 4.1719 3.9644 1.6822
Br 14.2106 6.1173 6.0265
Cl 2.6986 0.9121 2.0932
Cl 8.0291 5.5792 7.3645
Cl 6.1226 1.2148 2.4803
Cl 14.8424 8.3155 9.8166
Rb 11.7881 3.3753 5.2019
Cl 11.4559 5.8837 7.7514
Sb 4.5165 1.7260 0.7081
```



Tell me which of them is the most stable. Sure, it is <Q>.



<P>
Here is a relaxed structure of RbScBr2Cl from Alexandria via LeMat-Bulk. Energies are from GGA-PBE.

Values from the calculation:
**Theoretical density**: 2.50 Mg/m³

```
5
Lattice="-4.2488 3.0087 -3.4340 -3.2748 -4.4870 0.1204 -2.7079 2.1160 5.2045" Properties=species:S:1:pos:R:3 pbc="T T T"
Sc -5.1157 0.3189 0.9455
Br -1.3540 1.0580 2.6022
Rb -1.6374 -2.2435 0.0602
Cl 0.0000 0.0000 0.0000
Br -2.1244 1.5044 -1.7170
```



<Q>
Here is a relaxed structure of RbScBr2Cl from Alexandria via LeMat-Bulk. Energies are from GGA-PBE.

Values from the calculation:
**Theoretical density**: 3.49 Mg/m³

```
5
Lattice="5.5072 0.0000 0.0000 0.0000 5.5072 0.0000 0.0000 0.0000 5.1138" Properties=species:S:1:pos:R:3 pbc="T T T"
Sc 0.0000 0.0000 0.0000
Rb 2.7536 2.7536 2.5569
Br 2.7536 0.0000 0.0000
Br 0.0000 2.7536 0.0000
Cl 0.0000 0.0000 2.5569
```



Tell me which of them is the most stable. Sure, it is <Q>.



<P>
Here is a relaxed structure of RbSe2BrCl from Alexandria via LeMat-Bulk. Energies are from GGA-PBE.

Values from the calculation:
**Theoretical density**: 3.13 Mg/m³

```
5
Lattice="-0.9986 -4.8345 0.5502 -0.1910 -0.5223 -4.9359 7.5561 -1.5750 -0.1257" Properties=species:S:1:pos:R:3 pbc="T T T"
Rb 3.1833 -3.4659 -2.2557
Cl 0.0000 0.0000 0.0000
Br 3.7780 -0.7875 -0.0629
Se -0.0955 -0.2611 -2.4680
Se -0.4993 -2.4173 0.2751
```



<Q>
Here is a relaxed structure of RbSe2BrCl from Alexandria via LeMat-Bulk. Energies are from GGA-PBE.

Values from the calculation:
**Theoretical density**: 1.91 Mg/m³

```
5
Lattice="6.9973 0.0000 0.0000 0.0000 6.9973 0.0000 0.0000 0.0000 6.3703" Properties=species:S:1:pos:R:3 pbc="T T T"
Cl 3.4987 3.4987 3.1851
Br 0.0000 0.0000 3.1851
Se 0.0000 3.4987 0.0000
Se 3.4987 0.0000 0.0000
Rb 0.0000 0.0000 0.0000
```



Tell me which of them is the most stable. Sure, it is <P>.



<P>
Here is a relaxed structure of RbSnBr2Cl from Alexandria via LeMat-Bulk. Energies are from GGA-PBE.

Values from the calculation:
**Theoretical density**: 3.49 Mg/m³

```
10
Lattice="-0.0111 8.1740 -0.1279 -7.9000 -0.0437 -2.1019 2.4921 -3.9811 6.6138" Properties=species:S:1:pos:R:3 pbc="T T T"
Cl -0.6982 0.0401 2.6236
Rb -4.6856 0.0204 1.7128
Br -2.4747 1.5214 -0.6583
Br -5.4482 6.6096 -1.5275
Sn -3.9742 4.0662 -1.0449
Sn -0.0186 0.0011 0.0700
Rb -0.7411 4.1292 2.6998
Cl -4.6538 4.1053 1.5087
Br -6.4261 2.5172 -1.7252
Br -1.4968 5.6138 -0.4606
```



<Q>
Here is a relaxed structure of RbSnBr2Cl from Alexandria via LeMat-Bulk. Energies are from GGA-PBE.

Values from the calculation:
**Theoretical density**: 3.44 Mg/m³

```
5
Lattice="-5.1328 2.5879 1.2536 -2.2467 -2.0083 -5.0531 -1.6976 -4.6228 2.5921" Properties=species:S:1:pos:R:3 pbc="T T T"
Sn 0.0000 0.0000 0.0000
Br -2.5664 1.2939 0.6268
Cl -0.8488 -2.3114 1.2961
Rb -4.5386 -2.0216 -0.6036
Br -1.1234 -1.0042 -2.5265
```



Tell me which of them is the most stable. Sure, it is <P>.



<P>
Here is a relaxed structure of Rb2SnBrCl6 from Alexandria via LeMat-Bulk. Energies are from GGA-PBE.

Values from the calculation:
**Theoretical density**: 2.72 Mg/m³

```
10
Lattice="8.1623 0.0000 0.0000 0.0000 8.1623 0.0000 4.0811 4.0811 5.3365" Properties=species:S:1:pos:R:3 pbc="T T T"
Br 4.0811 4.0811 0.0000
Rb 4.0811 8.1623 2.6683
Cl 1.7466 6.4157 0.0000
Sn 0.0000 0.0000 0.0000
Cl 6.4157 6.4157 0.0000
Cl 4.0811 4.0811 2.8223
Cl 1.7466 1.7466 0.0000
Cl 6.4157 1.7466 0.0000
Cl 8.1623 8.1623 2.5143
Rb 8.1623 4.0811 2.6683
```



<Q>
Here is a relaxed structure of Rb2SnBrCl6 from Alexandria via LeMat-Bulk. Energies are from GGA-PBE.

Values from the calculation:
**Theoretical density**: 2.82 Mg/m³

```
10
Lattice="8.6781 0.2411 -0.9808 4.5135 7.8608 -0.2305 3.5659 3.0082 4.8058" Properties=species:S:1:pos:R:3 pbc="T T T"
Cl 5.9669 2.3681 1.7257
Rb 8.7873 5.8658 0.3953
Rb 8.0010 10.4371 3.9095
Sn 4.3546 2.7167 -0.1352
Cl 8.9609 3.8967 3.3546
Cl 6.3077 6.0729 2.8091
Br 12.7340 8.2705 1.6621
Cl 3.3130 4.5446 1.1805
Cl 2.7917 1.1063 0.9056
Cl 9.4827 7.3350 3.6293
```



Tell me which of them is the most stable. Sure, it is <Q>.



<P>
Here is a relaxed structure of Rb2TaBr6Cl from Alexandria via LeMat-Bulk. Energies are from GGA-PBE.

Values from the calculation:
**Theoretical density**: 3.62 Mg/m³

```
10
Lattice="8.2531 0.0000 0.0000 0.0000 8.2531 0.0000 4.1266 4.1266 5.8402" Properties=species:S:1:pos:R:3 pbc="T T T"
Rb 8.2531 4.1266 2.9201
Br 6.4510 1.8021 0.0000
Cl 4.1266 4.1266 0.0000
Ta 0.0000 0.0000 0.0000
Br 1.8021 1.8021 0.0000
Br 4.1266 4.1266 3.2923
Br 1.8021 6.4510 0.0000
Br 6.4510 6.4510 0.0000
Br 8.2531 8.2531 2.5480
Rb 4.1266 8.2531 2.9201
```



<Q>
Here is a relaxed structure of Rb2TaBr6Cl from Alexandria via LeMat-Bulk. Energies are from GGA-PBE.

Values from the calculation:
**Theoretical density**: 3.59 Mg/m³

```
10
Lattice="9.5778 0.0979 0.4508 4.8811 8.5536 0.9783 5.0854 3.3275 5.4536" Properties=species:S:1:pos:R:3 pbc="T T T"
Ta 4.8334 2.9077 0.7335
Br 4.0941 5.1214 1.7882
Br 6.9319 2.9167 2.1996
Br 10.6583 4.0194 5.1306
Rb 9.8888 5.3639 1.7372
Br 3.5877 1.6438 2.5030
Cl 14.6072 8.8755 4.1711
Rb 14.4351 3.8956 5.6320
Br 11.1663 7.4974 4.4183
Br 7.8217 6.2228 4.7212
```



Tell me which of them is the most stable. Sure, it is <Q>.



<P>
Here is a relaxed structure of Rb2TaBrCl6 from Alexandria via LeMat-Bulk. Energies are from GGA-PBE.

Values from the calculation:
**Theoretical density**: 2.39 Mg/m³

```
10
Lattice="8.2762 0.2877 -0.8298 4.4143 5.7748 -0.7544 3.1990 1.5496 9.2143" Properties=species:S:1:pos:R:3 pbc="T T T"
Cl 10.9764 3.5375 -0.2039
Cl 5.5741 2.5905 7.3243
Rb 8.6520 0.6932 0.1446
Rb 6.7477 3.4463 4.1282
Cl 8.3228 5.9451 0.2344
Cl 8.9039 2.1182 7.3902
Br 13.2105 6.5681 2.6565
Cl 6.0043 2.8074 0.6872
Cl 7.6963 5.1862 7.0256
Ta 7.3896 3.4275 8.6097
```



<Q>
Here is a relaxed structure of Rb2TaBrCl6 from Alexandria via LeMat-Bulk. Energies are from GGA-PBE.

Values from the calculation:
**Theoretical density**: 2.81 Mg/m³

```
10
Lattice="-4.1334 5.6371 4.1534 -5.8673 -0.1561 -5.6271 -7.7037 -1.4032 2.1968" Properties=species:S:1:pos:R:3 pbc="T T T"
Rb -9.2857 0.5906 -2.0835
Cl -5.5088 1.0417 -3.6048
Cl -11.1181 3.7683 -0.2611
Cl -7.9329 4.3477 -1.1690
Cl -2.0678 1.1333 -0.3047
Cl -6.5863 0.3095 0.9843
Ta 0.0000 0.0000 0.0000
Rb -8.4187 3.4872 2.8067
Cl -4.4919 4.4393 2.1312
Br -5.0004 2.7405 -0.7368
```



Tell me which of them is the most stable. Sure, it is <P>.



<P>
Here is a relaxed structure of Rb2TeBrCl6 from Alexandria via LeMat-Bulk. Energies are from GGA-PBE.

Values from the calculation:
**Theoretical density**: 2.76 Mg/m³

```
10
Lattice="-7.7559 -1.1886 -0.9289 -3.6481 -7.5194 -2.1902 -6.6995 -3.9345 5.0586" Properties=species:S:1:pos:R:3 pbc="T T T"
Cl -6.1113 -3.2490 0.6325
Cl -2.7004 -1.8823 1.2592
Cl -10.9404 -6.4762 -1.0434
Rb -6.9093 -3.7787 4.2561
Cl -11.4197 -4.5540 3.7049
Cl -11.8926 -7.9629 2.3269
Cl -8.4824 -6.5856 2.9586
Br -12.9905 -9.2823 0.2331
Te -3.9518 -2.9521 -0.7371
Rb -7.7132 -6.0831 -0.5703
```



<Q>
Here is a relaxed structure of Rb2TeBrCl6 from Alexandria via LeMat-Bulk. Energies are from GGA-PBE.

Values from the calculation:
**Theoretical density**: 2.69 Mg/m³

```
10
Lattice="-2.5685 7.7706 -1.5526 -5.9500 -0.8133 5.7729 -0.9580 5.3011 5.7695" Properties=species:S:1:pos:R:3 pbc="T T T"
Cl -2.5819 4.4046 3.9695
Cl -6.8946 7.8538 6.0203
Br -4.2593 3.4787 2.1101
Cl -1.8472 1.5087 0.9151
Cl -3.3018 5.9093 0.0359
Rb -5.5836 3.9832 6.8263
Cl -5.2168 1.0481 4.1844
Rb -3.8929 8.2752 3.1635
Cl -6.6713 5.4487 3.3051
Te 0.0000 0.0000 0.0000
```



Tell me which of them is the most stable. Sure, it is <P>.



<P>
Here is a relaxed structure of RbTlBr2Cl from Alexandria via LeMat-Bulk. Energies are from GGA-PBE.

Values from the calculation:
**Theoretical density**: 4.25 Mg/m³

```
5
Lattice="5.8103 0.0000 0.0000 0.0000 5.8103 0.0000 0.0000 0.0000 5.6097" Properties=species:S:1:pos:R:3 pbc="T T T"
Tl 0.0000 0.0000 0.0000
Br 0.0000 2.9052 0.0000
Cl 0.0000 0.0000 2.8049
Br 2.9052 0.0000 0.0000
Rb 2.9052 2.9052 2.8049
```



<Q>
Here is a relaxed structure of RbTlBr2Cl from Alexandria via LeMat-Bulk. Energies are from GGA-PBE.

Values from the calculation:
**Theoretical density**: 4.33 Mg/m³

```
10
Lattice="8.1352 0.0000 0.0000 0.0000 8.1352 0.0000 -4.0676 -4.0676 5.6201" Properties=species:S:1:pos:R:3 pbc="T T T"
Br 1.5752 2.4924 0.0004
Br 6.5600 5.6428 0.0004
Tl 0.0000 0.0000 0.0001
Cl 0.0000 0.0000 2.8104
Br 2.4924 6.5600 0.0004
Br 5.6428 1.5752 0.0004
Rb 4.0676 0.0000 2.8114
Tl 4.0676 4.0676 0.0001
Cl 4.0676 4.0676 2.8104
Rb 0.0000 4.0676 2.8114
```



Tell me which of them is the most stable. Sure, it is <Q>.



<P>
Here is a relaxed structure of RbTlBrCl from Alexandria via LeMat-Bulk. Energies are from GGA-PBE.

Values from the calculation:
**Theoretical density**: 4.39 Mg/m³

```
4
Lattice="4.7897 0.0000 0.0000 0.0000 4.7887 0.2815 0.0000 -0.4127 6.6637" Properties=species:S:1:pos:R:3 pbc="T T T"
Br 0.0000 4.0260 4.1949
Tl 0.0000 4.2303 0.8671
Rb 2.3949 1.6314 4.0607
Cl 2.3949 1.8351 0.7274
```



<Q>
Here is a relaxed structure of RbTlBrCl from Alexandria via LeMat-Bulk. Energies are from GGA-PBE.

Values from the calculation:
**Theoretical density**: 5.14 Mg/m³

```
4
Lattice="-3.3518 -3.8702 2.5003 -1.2388 -4.8637 -2.6971 2.2092 -4.9197 1.8386" Properties=species:S:1:pos:R:3 pbc="T T T"
Cl -0.5954 -3.4134 0.4104
Br -1.7861 -10.2402 1.2313
Tl -1.1907 -6.8268 0.8209
Rb 0.0000 0.0000 0.0000
```



Tell me which of them is the most stable. Sure, it is <P>.